[1]
This record from Alexandria describes a geometry-optimized CoNi structure. The functional is PBEsol.

```
4
Lattice="2.456 0.000 0.000 -1.228 2.127 0.000 0.000 0.000 7.948" Properties=species:S:1:pos:R:3 pbc="T T T"
Co 0.000 1.418 3.004
Co 1.228 0.709 4.944
Ni 0.000 1.418 6.933
Ni 1.228 0.709 1.014
```

Values from the calculation:
- Calculated formation energy: -1 kJ per mole of atoms
- Magnetization: 4.473 μB/cell

***

[2]
This record from Alexandria describes a geometry-optimized TcP2Os structure. The functional is PBEsol.

```
8
Lattice="7.473 0.000 0.000 0.000 2.867 0.000 -1.076 0.000 4.842" Properties=species:S:1:pos:R:3 pbc="T T T"
Tc 0.000 0.000 0.000
Tc 3.736 1.434 0.000
P 1.596 1.434 1.194
P 1.064 0.000 3.648
P 5.332 0.000 1.194
P 4.801 1.434 3.648
Os -0.538 1.434 2.421
Os 3.198 0.000 2.421
```

Values from the calculation:
- Calculated formation energy: -19 kJ per mole of atoms
- Magnetization: 0.000 μB/cell
- ΔE to the lowest computed polymorph: 0.0 kJ per mole of atoms

***

[3]
This record from Alexandria describes a geometry-optimized CaBi2 structure. The functional is PBEsol.

```
12
Lattice="4.720 0.000 0.000 0.000 16.776 0.000 0.000 0.000 4.534" Properties=species:S:1:pos:R:3 pbc="T T T"
Ca 0.000 1.648 1.133
Ca 0.000 15.128 3.400
Ca 2.360 6.740 3.400
Ca 2.360 10.037 1.133
Bi 0.000 4.312 3.400
Bi 0.000 7.270 1.133
Bi 0.000 9.506 3.400
Bi 0.000 12.464 1.133
Bi 2.360 1.118 3.400
Bi 2.360 4.076 1.133
Bi 2.360 12.701 3.400
Bi 2.360 15.658 1.133
```

Values from the calculation:
- Calculated formation energy: -57 kJ per mole of atoms
- Magnetization: 0.000 μB/cell